# 1
Sr2CaZn3Ge4: optimized geometry, PBE.

Cell lengths 4.4969, 4.4969, 11.3988 Å; angles 90.00, 90.00, 90.00 degrees
Atoms (fractional coordinates):
1 Sr 0.0000 0.5000 0.2329
2 Sr 0.5000 0.0000 0.7671
3 Ca 0.0000 0.0000 0.5000
4 Zn 0.0000 0.5000 0.8732
5 Zn 0.5000 0.0000 0.1268
6 Zn 0.5000 0.5000 0.5000
7 Ge 0.0000 0.0000 0.0000
8 Ge 0.0000 0.5000 0.6532
9 Ge 0.5000 0.0000 0.3468
10 Ge 0.5000 0.5000 0.0000

The calculated density is 5058 kg/m3. The calculation puts the formation energy at -0.396 eV/atom. As for the space-group type: P-4m2 (115). The calculation puts the total magnetic moment at 0.000 μB/atom.

---

# 2
Sr2CaZn2Ge2: optimized geometry, PBE.

Cell lengths 12.5648, 12.5648, 12.5648 Å; angles 19.83, 19.83, 19.83 degrees
Atoms (fractional coordinates):
1 Sr 0.1167 0.1167 0.1167
2 Sr 0.8833 0.8833 0.8833
3 Ca 0.0000 0.0000 0.0000
4 Zn 0.3889 0.3889 0.3889
5 Zn 0.6111 0.6111 0.6111
6 Ge 0.2767 0.2767 0.2767
7 Ge 0.7233 0.7233 0.7233

The calculated density is 4086 kg/m3. The calculation puts the formation energy at -0.450 eV/atom. As for the space-group type: R-3m (166). The calculation puts the total magnetic moment at 0.000 μB/atom.

---

# 3
Ca2TaGe2: optimized geometry, PBE.

Cell lengths 7.0787, 7.0787, 4.5718 Å; angles 90.00, 90.00, 90.00 degrees
Atoms (fractional coordinates):
1 Ca 0.1722 0.3278 0.0000
2 Ca 0.3278 0.8278 0.0000
3 Ca 0.6722 0.1722 0.0000
4 Ca 0.8278 0.6722 0.0000
5 Ta 0.0000 0.0000 0.5000
6 Ta 0.5000 0.5000 0.5000
7 Ge 0.1373 0.6373 0.5000
8 Ge 0.3627 0.1373 0.5000
9 Ge 0.6373 0.8627 0.5000
10 Ge 0.8627 0.3627 0.5000

The calculated density is 5891 kg/m3. The calculation puts the formation energy at -0.210 eV/atom. As for the space-group type: P4/mbm (127). The calculation puts the total magnetic moment at 0.198 μB/atom.

---

# 4
CaTaGe2: optimized geometry, PBE.

Cell lengths 9.3038, 9.3038, 9.3038 Å; angles 148.42, 148.42, 45.26 degrees
Atoms (fractional coordinates):
1 Ca 0.0000 0.0000 0.0000
2 Ca 0.7500 0.2500 0.5000
3 Ta 0.2500 0.7500 0.5000
4 Ta 0.5000 0.5000 0.0000
5 Ge 0.2921 0.6250 0.1671
6 Ge 0.3750 0.5421 0.6671
7 Ge 0.4579 0.1250 0.8329
8 Ge 0.8750 0.7079 0.3329

The calculated density is 5526 kg/m3. The calculation puts the formation energy at 0.224 eV/atom. As for the space-group type: I-42d (122). The calculation puts the total magnetic moment at 0.000 μB/atom.

---

# 5
CaTaGe2: optimized geometry, PBE.

Cell lengths 7.7812, 7.7812, 7.7812 Å; angles 27.05, 27.05, 27.05 degrees
Atoms (fractional coordinates):
1 Ca 0.0000 0.0000 0.0000
2 Ta 0.5000 0.5000 0.5000
3 Ge 0.2398 0.2398 0.2398
4 Ge 0.7602 0.7602 0.7602

The calculated density is 7079 kg/m3. The calculation puts the formation energy at -0.216 eV/atom. As for the space-group type: R-3m (166). The calculation puts the total magnetic moment at 0.000 μB/atom.

---

# 6
CaTa2Ge: optimized geometry, PBE.

Cell lengths 10.6935, 10.6935, 10.6935 Å; angles 158.18, 158.18, 31.05 degrees
Atoms (fractional coordinates):
1 Ca 0.0000 0.0000 0.0000
2 Ca 0.7500 0.2500 0.5000
3 Ta 0.1456 0.6250 0.0206
4 Ta 0.3750 0.3956 0.5206
5 Ta 0.6044 0.1250 0.9794
6 Ta 0.8750 0.8544 0.4794
7 Ge 0.2500 0.7500 0.5000
8 Ge 0.5000 0.5000 0.0000

The calculated density is 9335 kg/m3. The calculation puts the formation energy at 0.612 eV/atom. As for the space-group type: I-42d (122). The calculation puts the total magnetic moment at 0.000 μB/atom.

---

# 7
CaTaGe3: optimized geometry, PBE.

Cell lengths 5.0177, 5.0177, 5.0177 Å; angles 90.00, 90.00, 90.00 degrees
Atoms (fractional coordinates):
1 Ca 0.0000 0.0000 0.0000
2 Ta 0.5000 0.5000 0.5000
3 Ge 0.0000 0.0000 0.5000
4 Ge 0.0000 0.5000 0.0000
5 Ge 0.5000 0.0000 0.0000

The calculated density is 5769 kg/m3. The calculation puts the formation energy at 1.652 eV/atom. As for the space-group type: Pm-3m (221). The calculation puts the total magnetic moment at 0.000 μB/atom.

---

# 8
Ca2TaGe: optimized geometry, PBE.

Cell lengths 6.6578, 6.6578, 6.6578 Å; angles 100.04, 100.04, 130.63 degrees
Atoms (fractional coordinates):
1 Ca 0.0809 0.6250 0.9559
2 Ca 0.3750 0.3309 0.4559
3 Ca 0.6691 0.1250 0.0441
4 Ca 0.8750 0.9191 0.5441
5 Ta 0.2500 0.7500 0.5000
6 Ta 0.5000 0.5000 0.0000
7 Ge 0.0000 0.0000 0.0000
8 Ge 0.7500 0.2500 0.5000

The calculated density is 5447 kg/m3. The calculation puts the formation energy at 0.617 eV/atom. As for the space-group type: I-42d (122). The calculation puts the total magnetic moment at 0.412 μB/atom.

---

# 9
CaYTa2Ge: optimized geometry, PBE.

Cell lengths 4.8369, 4.8369, 5.2100 Å; angles 90.00, 90.00, 90.00 degrees
Atoms (fractional coordinates):
1 Ca 0.0000 0.0000 0.0000
2 Y 0.5000 0.5000 0.5000
3 Ta 0.0000 0.5000 0.0000
4 Ta 0.5000 0.0000 0.0000
5 Ge 0.0000 0.0000 0.5000

The calculated density is 7677 kg/m3. The calculation puts the formation energy at 1.663 eV/atom. As for the space-group type: P4/mmm (123). The calculation puts the total magnetic moment at 0.000 μB/atom.

---

# 10
CaTbGe2: optimized geometry, PBE.

Cell lengths 3.3339, 3.3339, 8.3388 Å; angles 90.00, 90.00, 90.00 degrees
Atoms (fractional coordinates):
1 Ca 0.0000 0.0000 0.0000
2 Tb 0.0000 0.0000 0.5000
3 Ge 0.5000 0.5000 0.2549
4 Ge 0.5000 0.5000 0.7451

The calculated density is 6168 kg/m3. The calculation puts the formation energy at -0.581 eV/atom. As for the space-group type: P4/mmm (123). The calculation puts the total magnetic moment at 0.000 μB/atom.

---

# 11
CaTb2Ge: optimized geometry, PBE.

Cell lengths 10.0214, 10.0214, 10.0214 Å; angles 23.35, 23.35, 23.35 degrees
Atoms (fractional coordinates):
1 Ca 0.0000 0.0000 0.0000
2 Tb 0.2221 0.2221 0.2221
3 Tb 0.7779 0.7779 0.7779
4 Ge 0.5000 0.5000 0.5000

The calculated density is 5151 kg/m3. The calculation puts the formation energy at -0.267 eV/atom. As for the space-group type: R-3m (166). The calculation puts the total magnetic moment at 0.080 μB/atom.

---

# 12
Ca3Tb3Ge4: optimized geometry, PBE.

Cell lengths 4.3235, 7.6770, 7.6770 Å; angles 89.19, 90.00, 90.00 degrees
Atoms (fractional coordinates):
1 Ca 0.0000 0.0000 0.0000
2 Ca 0.5000 0.3216 0.8269
3 Ca 0.5000 0.8269 0.3216
4 Tb 0.0000 0.1510 0.5013
5 Tb 0.0000 0.5013 0.1510
6 Tb 0.0000 0.6504 0.6504
7 Ge 0.5000 0.2141 0.2141
8 Ge 0.5000 0.4479 0.4479
9 Ge 0.5000 0.6992 0.9400
10 Ge 0.5000 0.9400 0.6992

The calculated density is 5785 kg/m3. The calculation puts the formation energy at -0.694 eV/atom. As for the space-group type: Amm2 (38). The calculation puts the total magnetic moment at 0.000 μB/atom.

---

# 13
CaTbGe2: optimized geometry, PBE.

Cell lengths 3.9682, 5.8631, 5.8631 Å; angles 44.33, 90.00, 90.00 degrees
Atoms (fractional coordinates):
1 Ca 0.0000 0.0000 0.0000
2 Tb 0.5000 0.7230 0.7230
3 Ge 0.0000 0.2785 0.2785
4 Ge 0.5000 0.4397 0.4397

The calculated density is 5997 kg/m3. The calculation puts the formation energy at -0.736 eV/atom. As for the space-group type: Amm2 (38). The calculation puts the total magnetic moment at 0.000 μB/atom.

---

# 14
CaTb4Ge4: optimized geometry, PBE.

Cell lengths 9.4503, 9.4503, 5.8352 Å; angles 90.00, 90.00, 90.00 degrees
Atoms (fractional coordinates):
1 Ca 0.2500 0.2500 0.2500
2 Ca 0.7500 0.7500 0.7500
3 Tb 0.1036 0.6372 0.1339
4 Tb 0.1372 0.8964 0.6339
5 Tb 0.3628 0.6036 0.6339
6 Tb 0.3964 0.8628 0.1339
7 Tb 0.6036 0.1372 0.8661
8 Tb 0.6372 0.3964 0.3661
9 Tb 0.8628 0.1036 0.3661
10 Tb 0.8964 0.3628 0.8661
11 Ge 0.0479 0.5962 0.6435
12 Ge 0.0962 0.9521 0.1435
13 Ge 0.4038 0.5479 0.1435
14 Ge 0.4521 0.9038 0.6435
15 Ge 0.5479 0.0962 0.3565
16 Ge 0.5962 0.4521 0.8565
17 Ge 0.9038 0.0479 0.8565
18 Ge 0.9521 0.4038 0.3565

The calculated density is 6158 kg/m3. The calculation puts the formation energy at -0.601 eV/atom. As for the space-group type: P4_2/n (86). The calculation puts the total magnetic moment at 0.000 μB/atom.

---

# 15
CaTc2Ge7: optimized geometry, PBE.

Cell lengths 6.8671, 6.8671, 4.7959 Å; angles 90.00, 90.00, 101.24 degrees
Atoms (fractional coordinates):
1 Ca 0.0000 0.0000 0.0000
2 Tc 0.2780 0.7220 0.5000
3 Tc 0.7220 0.2780 0.5000
4 Ge 0.1025 0.3359 0.5000
5 Ge 0.2932 0.7068 0.0000
6 Ge 0.3359 0.1025 0.5000
7 Ge 0.5000 0.5000 0.5000
8 Ge 0.6641 0.8975 0.5000
9 Ge 0.7068 0.2932 0.0000
10 Ge 0.8975 0.6641 0.5000

The calculated density is 5574 kg/m3. The calculation puts the formation energy at 0.045 eV/atom. As for the space-group type: Cmmm (65). The calculation puts the total magnetic moment at 0.000 μB/atom.

---

# 16
Ca2TcGe6: optimized geometry, PBE.

Cell lengths 6.8961, 6.8961, 4.3425 Å; angles 90.00, 90.00, 104.92 degrees
Atoms (fractional coordinates):
1 Ca 0.2329 0.7671 0.0000
2 Ca 0.7671 0.2329 0.0000
3 Tc 0.5000 0.5000 0.5000
4 Ge 0.1102 0.3746 0.5000
5 Ge 0.3252 0.3252 0.0000
6 Ge 0.3746 0.1102 0.5000
7 Ge 0.6254 0.8898 0.5000
8 Ge 0.6748 0.6748 0.0000
9 Ge 0.8898 0.6254 0.5000

The calculated density is 5109 kg/m3. The calculation puts the formation energy at -0.166 eV/atom. As for the space-group type: Cmmm (65). The calculation puts the total magnetic moment at 0.000 μB/atom.

---

# 17
CaTc2Ge2: optimized geometry, PBE.

Cell lengths 6.2254, 6.2254, 6.2254 Å; angles 141.50, 141.50, 55.58 degrees
Atoms (fractional coordinates):
1 Ca 0.0000 0.0000 0.0000
2 Tc 0.2500 0.7500 0.5000
3 Tc 0.7500 0.2500 0.5000
4 Ge 0.3820 0.3820 0.0000
5 Ge 0.6180 0.6180 0.0000

The calculated density is 6825 kg/m3. The calculation puts the formation energy at -0.282 eV/atom. Its polymorph energy (0 for the lowest one) is 44 meV/atom. As for the space-group type: I4/mmm (139). The calculation puts the total magnetic moment at 0.000 μB/atom.

---

# 18
CaTc2Ge2: optimized geometry, PBE.

Cell lengths 7.4812, 7.4812, 3.0022 Å; angles 90.00, 90.00, 90.00 degrees
Atoms (fractional coordinates):
1 Ca 0.0000 0.0000 0.0000
2 Ca 0.5000 0.5000 0.0000
3 Tc 0.1434 0.3566 0.5000
4 Tc 0.3566 0.8566 0.5000
5 Tc 0.6434 0.1434 0.5000
6 Tc 0.8566 0.6434 0.5000
7 Ge 0.1444 0.6444 0.0000
8 Ge 0.3556 0.1444 0.0000
9 Ge 0.6444 0.8556 0.0000
10 Ge 0.8556 0.3556 0.0000

The calculated density is 7538 kg/m3. The calculation puts the formation energy at -0.129 eV/atom. Its polymorph energy (0 for the lowest one) is 197 meV/atom. As for the space-group type: P4/mbm (127). The calculation puts the total magnetic moment at 0.000 μB/atom.

---

# 19
CaTc2Ge2: optimized geometry, PBE.

Cell lengths 11.3880, 11.3880, 11.3880 Å; angles 158.90, 158.72, 30.14 degrees
Atoms (fractional coordinates):
1 Ca 0.4063 0.1563 0.2500
2 Ca 0.5937 0.8437 0.7500
3 Tc 0.2165 0.9665 0.2500
4 Tc 0.2848 0.5348 0.7500
5 Tc 0.7152 0.4652 0.2500
6 Tc 0.7835 0.0335 0.7500
7 Ge 0.0296 0.2796 0.7500
8 Ge 0.1462 0.3962 0.7500
9 Ge 0.8538 0.6038 0.2500
10 Ge 0.9704 0.7204 0.2500

The calculated density is 6568 kg/m3. The calculation puts the formation energy at -0.326 eV/atom. Its polymorph energy (0 for the lowest one) is 0 meV/atom. As for the space-group type: Imma (74). The calculation puts the total magnetic moment at 0.000 μB/atom.

---

# 20
CaTc2Ge: optimized geometry, PBE.

Cell lengths 9.5713, 9.5713, 9.5713 Å; angles 152.77, 152.77, 38.89 degrees
Atoms (fractional coordinates):
1 Ca 0.0000 0.0000 0.0000
2 Ca 0.7500 0.2500 0.5000
3 Tc 0.3050 0.6250 0.1800
4 Tc 0.3750 0.5550 0.6800
5 Tc 0.4450 0.1250 0.8200
6 Tc 0.8750 0.6950 0.3200
7 Ge 0.2500 0.7500 0.5000
8 Ge 0.5000 0.5000 0.0000

The calculated density is 5594 kg/m3. The calculation puts the formation energy at 0.446 eV/atom. As for the space-group type: I-42d (122). The calculation puts the total magnetic moment at 0.000 μB/atom.

---

# 21
CaTc4Ge2: optimized geometry, PBE.

Cell lengths 7.5530, 7.5530, 4.1195 Å; angles 90.00, 90.00, 148.17 degrees
Atoms (fractional coordinates):
1 Ca 0.0000 0.0000 0.0000
2 Tc 0.1939 0.8061 0.5000
3 Tc 0.3010 0.6990 0.0000
4 Tc 0.6990 0.3010 0.0000
5 Tc 0.8061 0.1939 0.5000
6 Ge 0.4112 0.5888 0.5000
7 Ge 0.5888 0.4112 0.5000

The calculated density is 7736 kg/m3. The calculation puts the formation energy at -0.264 eV/atom. As for the space-group type: Cmmm (65). The calculation puts the total magnetic moment at 0.000 μB/atom.

---

# 22
CaTcGe2: optimized geometry, PBE.

Cell lengths 8.7314, 8.7314, 8.7314 Å; angles 145.83, 145.83, 49.11 degrees
Atoms (fractional coordinates):
1 Ca 0.0000 0.0000 0.0000
2 Ca 0.7500 0.2500 0.5000
3 Tc 0.2500 0.7500 0.5000
4 Tc 0.5000 0.5000 0.0000
5 Ge 0.3243 0.6250 0.1993
6 Ge 0.3750 0.5743 0.6993
7 Ge 0.4257 0.1250 0.8007
8 Ge 0.8750 0.6757 0.3007

The calculated density is 4501 kg/m3. The calculation puts the formation energy at 0.002 eV/atom. Its polymorph energy (0 for the lowest one) is 320 meV/atom. As for the space-group type: I-42d (122). The calculation puts the total magnetic moment at 0.000 μB/atom.

---

# 23
CaTc2Ge2: optimized geometry, PBE.

Cell lengths 5.6808, 5.6808, 5.6808 Å; angles 132.90, 132.90, 68.81 degrees
Atoms (fractional coordinates):
1 Ca 0.0000 0.0000 0.0000
2 Tc 0.3797 0.3797 0.0000
3 Tc 0.6203 0.6203 0.0000
4 Ge 0.2500 0.7500 0.5000
5 Ge 0.7500 0.2500 0.5000

The calculated density is 6557 kg/m3. The calculation puts the formation energy at -0.131 eV/atom. Its polymorph energy (0 for the lowest one) is 195 meV/atom. As for the space-group type: I4/mmm (139). The calculation puts the total magnetic moment at 0.000 μB/atom.

---

# 24
CaTc3Ge3: optimized geometry, PBE.

Cell lengths 8.3286, 8.3286, 4.4423 Å; angles 90.00, 90.00, 120.00 degrees
Atoms (fractional coordinates):
1 Ca 0.3333 0.6667 0.2500
2 Ca 0.6667 0.3333 0.7500
3 Tc 0.0476 0.2076 0.2500
4 Tc 0.1599 0.9524 0.2500
5 Tc 0.2076 0.1599 0.7500
6 Tc 0.7924 0.8401 0.2500
7 Tc 0.8401 0.0476 0.7500
8 Tc 0.9524 0.7924 0.7500
9 Ge 0.0867 0.3956 0.7500
10 Ge 0.3089 0.9133 0.7500
11 Ge 0.3956 0.3089 0.2500
12 Ge 0.6044 0.6911 0.7500
13 Ge 0.6911 0.0867 0.2500
14 Ge 0.9133 0.6044 0.2500

The calculated density is 6870 kg/m3. The calculation puts the formation energy at -0.133 eV/atom. Its polymorph energy (0 for the lowest one) is 0 meV/atom. As for the space-group type: P6_3/m (176). The calculation puts the total magnetic moment at 0.000 μB/atom.

---

# 25
CaTcGe: optimized geometry, PBE.

Cell lengths 4.0527, 4.0527, 7.6951 Å; angles 91.52, 91.52, 88.89 degrees
Atoms (fractional coordinates):
1 Ca 0.2419 0.2419 0.3380
2 Ca 0.7581 0.7581 0.6620
3 Tc 0.2144 0.7856 0.0000
4 Tc 0.7856 0.2144 0.0000
5 Ge 0.2762 0.2762 0.7884
6 Ge 0.7238 0.7238 0.2116

The calculated density is 5542 kg/m3. The calculation puts the formation energy at -0.341 eV/atom. As for the space-group type: C2/m (12). The calculation puts the total magnetic moment at 0.000 μB/atom.